No. 1
VASP calculation (meta-GGA SCAN) on a PBEsol-optimized structure of Ba3Cr2O8.

```
data_Ba3Cr2O8
_cell_length_a 5.7067
_cell_length_b 5.7067
_cell_length_c 14.6168
_cell_angle_alpha 90.00
_cell_angle_beta 101.25
_cell_angle_gamma 120.00
_space_group_name_H-M_alt 'P 1'
_space_group_IT_number 1
loop_
_space_group_symop_operation_xyz
'x,y,z'
loop_
_atom_site_label
_atom_site_fract_x
_atom_site_fract_y
_atom_site_fract_z
Ba1 0.0000 0.0000 0.0000
Ba2 0.0006 0.5001 0.5000
Ba3 0.2007 0.6033 0.8092
Ba4 0.2131 0.1069 0.3091
Ba5 0.4123 0.2061 0.6183
Ba6 0.4128 0.7062 0.1183
Cr1 0.6130 0.8065 0.4201
Cr2 0.6146 0.3070 0.9202
Cr3 0.7982 0.3990 0.1981
Cr4 0.7998 0.8995 0.6982
O1 0.4474 0.2237 0.1554
O2 0.4482 0.7241 0.6579
O3 0.4788 0.4826 0.9605
O4 0.4801 0.4976 0.4622
O5 0.4802 0.9828 0.4622
O6 0.4796 0.9972 0.9615
O7 0.5259 0.7626 0.3019
O8 0.5430 0.2677 0.8020
O9 0.8687 0.4339 0.3164
O10 0.8858 0.9389 0.8164
O11 0.9324 0.7237 0.6557
O12 0.9333 0.2093 0.6567
O13 0.9338 0.2239 0.1573
O14 0.9338 0.7097 0.1574
O15 0.9655 0.4829 0.9627
O16 0.9646 0.9824 0.4602
```

Summary:
The density of states at the Fermi level comes out at 4.1 states/eV per cell. Its uncorrected formation energy is -265 kJ per mole of atoms. The energy above the most stable polymorph in this dataset is 0 meV per atom.


No. 2
VASP calculation (meta-GGA SCAN) on a PBEsol-optimized structure of SmInCo2.

```
data_SmInCo2
_cell_length_a 5.0060
_cell_length_b 3.9593
_cell_length_c 7.1042
_cell_angle_alpha 90.00
_cell_angle_beta 90.00
_cell_angle_gamma 90.00
_space_group_name_H-M_alt 'P 1'
_space_group_IT_number 1
loop_
_space_group_symop_operation_xyz
'x,y,z'
loop_
_atom_site_label
_atom_site_fract_x
_atom_site_fract_y
_atom_site_fract_z
Sm1 0.2500 0.0000 0.2171
Sm2 0.7500 0.0000 0.7829
In1 0.2500 0.5000 0.8425
In2 0.7500 0.5000 0.1575
Co1 0.0000 0.5000 0.5000
Co2 0.2500 0.0000 0.5864
Co3 0.5000 0.5000 0.5000
Co4 0.7500 0.0000 0.4136
```

Summary:
The density of states at the Fermi level comes out at 6.0 states/eV per cell. The calculation puts the energy of formation from the pure elements at -0.26 eV per atom.


No. 3
VASP calculation (meta-GGA SCAN) on a PBEsol-optimized structure of La3Mg.

```
data_La3Mg
_cell_length_a 3.6449
_cell_length_b 5.7496
_cell_length_c 5.9961
_cell_angle_alpha 90.00
_cell_angle_beta 90.00
_cell_angle_gamma 90.00
_space_group_name_H-M_alt 'P 1'
_space_group_IT_number 1
loop_
_space_group_symop_operation_xyz
'x,y,z'
loop_
_atom_site_label
_atom_site_fract_x
_atom_site_fract_y
_atom_site_fract_z
La1 0.0000 0.0000 0.0000
La2 0.0000 0.5000 0.4117
La3 0.5000 0.0000 0.5425
Mg1 0.5000 0.5000 0.8972
```

Summary:
The density of states at the Fermi level comes out at 4.1 states/eV per cell. The calculation puts the energy of formation from the pure elements at -0.04 eV per atom.


No. 4
VASP calculation (meta-GGA SCAN) on a PBEsol-optimized structure of CdFeRe2Sb.

```
data_CdFeRe2Sb
_cell_length_a 4.8932
_cell_length_b 4.8932
_cell_length_c 5.0215
_cell_angle_alpha 90.00
_cell_angle_beta 90.00
_cell_angle_gamma 90.00
_space_group_name_H-M_alt 'P 1'
_space_group_IT_number 1
loop_
_space_group_symop_operation_xyz
'x,y,z'
loop_
_atom_site_label
_atom_site_fract_x
_atom_site_fract_y
_atom_site_fract_z
Cd1 0.0000 0.0000 0.0000
Fe1 0.5000 0.5000 0.5000
Re1 0.0000 0.5000 0.0000
Re2 0.5000 0.0000 0.0000
Sb1 0.0000 0.0000 0.5000
```

Summary:
The density of states at the Fermi level comes out at 4.1 states/eV per cell. Its uncorrected formation energy is 286 kJ per mole of atoms.


No. 5
VASP calculation (meta-GGA SCAN) on a PBEsol-optimized structure of PmF3.

```
data_PmF3
_cell_length_a 4.1578
_cell_length_b 4.1578
_cell_length_c 4.1578
_cell_angle_alpha 127.27
_cell_angle_beta 127.27
_cell_angle_gamma 77.81
_space_group_name_H-M_alt 'P 1'
_space_group_IT_number 1
loop_
_space_group_symop_operation_xyz
'x,y,z'
loop_
_atom_site_label
_atom_site_fract_x
_atom_site_fract_y
_atom_site_fract_z
Pm1 0.0000 0.0000 0.0000
F1 0.2500 0.7500 0.5000
F2 0.5000 0.5000 0.0000
F3 0.7500 0.2500 0.5000
```

Summary:
The density of states at the Fermi level comes out at 0.0 states/eV per cell. Its uncorrected formation energy is -412 kJ per mole of atoms.


No. 6
VASP calculation (meta-GGA SCAN) on a PBEsol-optimized structure of Mg2ZrP2.

```
data_Mg2ZrP2
_cell_length_a 5.3465
_cell_length_b 5.3465
_cell_length_c 5.3465
_cell_angle_alpha 127.35
_cell_angle_beta 127.35
_cell_angle_gamma 77.69
_space_group_name_H-M_alt 'P 1'
_space_group_IT_number 1
loop_
_space_group_symop_operation_xyz
'x,y,z'
loop_
_atom_site_label
_atom_site_fract_x
_atom_site_fract_y
_atom_site_fract_z
Mg1 0.1567 0.1567 0.0000
Mg2 0.8433 0.8433 0.0000
Zr1 0.5000 0.5000 0.0000
P1 0.2500 0.7500 0.5000
P2 0.7500 0.2500 0.5000
```

Summary:
The density of states at the Fermi level comes out at 1.7 states/eV per cell. The calculation puts the energy of formation from the pure elements at -0.11 eV per atom.


No. 7
VASP calculation (meta-GGA SCAN) on a PBEsol-optimized structure of CsScSe2.

```
data_CsScSe2
_cell_length_a 7.3036
_cell_length_b 7.3036
_cell_length_c 7.3036
_cell_angle_alpha 116.12
_cell_angle_beta 116.12
_cell_angle_gamma 96.85
_space_group_name_H-M_alt 'P 1'
_space_group_IT_number 1
loop_
_space_group_symop_operation_xyz
'x,y,z'
loop_
_atom_site_label
_atom_site_fract_x
_atom_site_fract_y
_atom_site_fract_z
Cs1 0.0000 0.0000 0.0000
Cs2 0.7500 0.2500 0.5000
Sc1 0.2500 0.7500 0.5000
Sc2 0.5000 0.5000 0.0000
Se1 0.2299 0.1250 0.6049
Se2 0.3750 0.7701 0.8951
Se3 0.5201 0.6250 0.3951
Se4 0.8750 0.4799 0.1049
```

Summary:
The density of states at the Fermi level comes out at 0.0 states/eV per cell. Its uncorrected formation energy is -164 kJ per mole of atoms.


No. 8
VASP calculation (meta-GGA SCAN) on a PBEsol-optimized structure of GaSe2BrN.

```
data_GaSe2BrN
_cell_length_a 5.3022
_cell_length_b 5.3022
_cell_length_c 3.6711
_cell_angle_alpha 90.00
_cell_angle_beta 90.00
_cell_angle_gamma 90.00
_space_group_name_H-M_alt 'P 1'
_space_group_IT_number 1
loop_
_space_group_symop_operation_xyz
'x,y,z'
loop_
_atom_site_label
_atom_site_fract_x
_atom_site_fract_y
_atom_site_fract_z
Ga1 0.0000 0.0000 0.0000
Se1 0.0000 0.5000 0.5000
Se2 0.5000 0.0000 0.5000
Br1 0.5000 0.5000 0.5000
N1 0.5000 0.5000 0.0000
```

Summary:
The density of states at the Fermi level comes out at 4.1 states/eV per cell. Its uncorrected formation energy is 135 kJ per mole of atoms. The energy above the most stable polymorph in this dataset is 738 meV per atom.


Please write out number 4 again, unchanged.
VASP calculation (meta-GGA SCAN) on a PBEsol-optimized structure of CdFeRe2Sb.

```
data_CdFeRe2Sb
_cell_length_a 4.8932
_cell_length_b 4.8932
_cell_length_c 5.0215
_cell_angle_alpha 90.00
_cell_angle_beta 90.00
_cell_angle_gamma 90.00
_space_group_name_H-M_alt 'P 1'
_space_group_IT_number 1
loop_
_space_group_symop_operation_xyz
'x,y,z'
loop_
_atom_site_label
_atom_site_fract_x
_atom_site_fract_y
_atom_site_fract_z
Cd1 0.0000 0.0000 0.0000
Fe1 0.5000 0.5000 0.5000
Re1 0.0000 0.5000 0.0000
Re2 0.5000 0.0000 0.0000
Sb1 0.0000 0.0000 0.5000
```

Summary:
The density of states at the Fermi level comes out at 4.1 states/eV per cell. Its uncorrected formation energy is 286 kJ per mole of atoms.


Question: Number 5 is which compound?
Answer: PmF3